VASP calculation (PBE-GGA) on crystalline K4Pu6Cl19 at its relaxed geometry.

Cell and atoms, written as extended XYZ:
```
29
Lattice="-6.364 6.364 6.364 6.364 -6.364 6.364 6.364 6.364 -6.364" Properties=species:S:1:pos:R:3 pbc="T T T"
K 1.771 1.771 -1.771
K 1.771 -1.771 1.771
K -1.771 1.771 1.771
K 4.593 4.593 4.593
Pu 6.364 2.100 0.000
Pu 6.364 0.000 4.264
Pu 4.264 6.364 0.000
Pu 2.100 0.000 6.364
Pu 0.000 6.364 2.100
Pu 0.000 4.264 6.364
Cl 0.000 0.000 0.000
Cl 4.534 0.000 0.000
Cl 8.195 0.000 0.000
Cl 6.737 -2.312 2.750
Cl 4.052 3.614 -0.373
Cl 3.614 -0.373 4.052
Cl 8.677 3.614 0.373
Cl 2.750 6.737 -2.312
Cl 0.000 4.534 0.000
Cl 0.000 0.000 4.534
Cl 5.991 2.312 2.750
Cl -0.373 4.052 3.614
Cl 0.000 8.195 0.000
Cl 0.000 0.000 8.195
Cl 2.750 5.991 2.312
Cl 2.312 2.750 5.991
Cl 3.614 0.373 8.677
Cl -2.312 2.750 6.737
Cl 0.373 8.677 3.614
```

Computed properties:
Calculated volume, Å³/cell: 1031.1
Fermi-level density of states, states/eV per atom: 2.61
DFT total energy, eV/cell: -181.39
Density, g/cm3: 3.694
Space group: No. 197